# 1
# NbInPdW2 meta-GGA SCAN single point on PBEsol structure
data_NbInPdW2
_cell_length_a 4.831
_cell_length_b 4.831
_cell_length_c 4.567
_cell_angle_alpha 90.00
_cell_angle_beta 90.00
_cell_angle_gamma 90.00
_space_group_name_H-M_alt 'P 4/m m m'
_space_group_IT_number 123
_space_group_name_Hall '-P 4 2'
loop_
_atom_site_label
_atom_site_fract_x
_atom_site_fract_y
_atom_site_fract_z
Nb1 0.000 0.000 0.000
In1 0.500 0.500 0.500
Pd1 0.500 0.500 0.000
W1 0.000 0.500 0.500
# - ΔH_f (0 K) (eV/atom) = 2.338
# - DOS at the Fermi energy (states/eV per cell) = 5.91
# - total magnetic moment (Bohr magnetons per cell) = 0.00

=====

# 2
# Mg2CoCu meta-GGA SCAN single point on PBEsol structure
data_Mg2CoCu
_cell_length_a 9.624
_cell_length_b 2.793
_cell_length_c 4.547
_cell_angle_alpha 90.00
_cell_angle_beta 108.55
_cell_angle_gamma 90.00
_space_group_name_H-M_alt 'C 1 m 1'
_space_group_IT_number 8
_space_group_name_Hall 'C -2y'
loop_
_atom_site_label
_atom_site_fract_x
_atom_site_fract_y
_atom_site_fract_z
Mg1 0.000 0.000 0.000
Mg2 0.211 0.000 0.640
Co1 0.460 0.000 0.478
Cu1 0.257 0.500 0.175
# - ΔH_f (0 K) (eV/atom) = 0.036
# - DOS at the Fermi energy (states/eV per cell) = 3.01
# - total magnetic moment (Bohr magnetons per cell) = 3.04

=====

# 3
# RbBeOs2I meta-GGA SCAN single point on PBEsol structure
data_RbBeOs2I
_cell_length_a 4.885
_cell_length_b 4.885
_cell_length_c 6.334
_cell_angle_alpha 90.00
_cell_angle_beta 90.00
_cell_angle_gamma 90.00
_space_group_name_H-M_alt 'P 4/m m m'
_space_group_IT_number 123
_space_group_name_Hall '-P 4 2'
loop_
_atom_site_label
_atom_site_fract_x
_atom_site_fract_y
_atom_site_fract_z
Rb1 0.000 0.000 0.000
Be1 0.500 0.500 0.000
Os1 0.000 0.500 0.500
I1 0.000 0.000 0.500
# - formation energy without anion corrections (eV/atom) = 2.49
# - DOS at the Fermi energy (states/eV per cell) = 2.24
# - total magnetic moment (Bohr magnetons per cell) = 3.03

=====

# 4
# CuH4Pb2Cl2O4 meta-GGA SCAN single point on PBEsol structure
data_CuH4Pb2Cl2O4
_cell_length_a 5.815
_cell_length_b 5.815
_cell_length_c 5.447
_cell_angle_alpha 90.00
_cell_angle_beta 90.00
_cell_angle_gamma 90.00
_space_group_name_H-M_alt 'P 4 m m'
_space_group_IT_number 99
_space_group_name_Hall 'P 4 -2'
loop_
_atom_site_label
_atom_site_fract_x
_atom_site_fract_y
_atom_site_fract_z
Cu1 0.000 0.000 0.000
H1 0.303 0.303 0.088
Pb1 0.000 0.500 0.697
Cl1 0.000 0.000 0.460
Cl2 0.500 0.500 0.372
O1 0.236 0.236 0.938
# - E_tot (eV per atom) = -18.148
# - total magnetic moment (Bohr magnetons per cell) = 1.00

=====

# 5
# LiMgIr2 meta-GGA SCAN single point on PBEsol structure
data_LiMgIr2
_cell_length_a 2.845
_cell_length_b 4.543
_cell_length_c 8.593
_cell_angle_alpha 90.00
_cell_angle_beta 90.00
_cell_angle_gamma 90.00
_space_group_name_H-M_alt 'I m m m'
_space_group_IT_number 71
_space_group_name_Hall '-I 2 2'
loop_
_atom_site_label
_atom_site_fract_x
_atom_site_fract_y
_atom_site_fract_z
Li1 0.000 0.000 0.000
Mg1 0.000 0.000 0.500
Ir1 0.000 0.500 0.255
# - ΔH_f (0 K) (eV/atom) = -0.324
# - DOS at the Fermi energy (states/eV per cell) = 4.53
# - total magnetic moment (Bohr magnetons per cell) = 0.00

=====

# 6
# NbFeBr2N meta-GGA SCAN single point on PBEsol structure
data_NbFeBr2N
_cell_length_a 5.067
_cell_length_b 5.067
_cell_length_c 3.371
_cell_angle_alpha 90.00
_cell_angle_beta 90.00
_cell_angle_gamma 90.00
_space_group_name_H-M_alt 'P 4/m m m'
_space_group_IT_number 123
_space_group_name_Hall '-P 4 2'
loop_
_atom_site_label
_atom_site_fract_x
_atom_site_fract_y
_atom_site_fract_z
Nb1 0.000 0.000 0.000
Fe1 0.500 0.500 0.000
Br1 0.000 0.500 0.500
N1 0.500 0.500 0.500
# - formation energy without anion corrections (eV/atom) = 0.90
# - DOS at the Fermi energy (states/eV per cell) = 3.93
# - total magnetic moment (Bohr magnetons per cell) = 4.92